# 1
{"formula": "RuRhF2", "functional": "PBE", "state": "relaxed", "cell": [[0.0000, 2.9722, 2.9722], [2.9722, 0.0000, 2.9722], [2.9722, 2.9722, 0.0000]], "species": ["Ru", "Rh", "F", "F"], "frac_coords": [[0.0000, 0.0000, 0.0000], [0.5000, 0.5000, 0.5000], [0.2500, 0.2500, 0.2500], [0.7500, 0.7500, 0.7500]], "volume_a3_per_cell": 53, "total_magnetization_mub_per_atom": 1.289, "n_ef_per_ev_atom": 1.746, "formation_energy_uncorrected_mev_per_atom": 173, "spacegroup": "Fm-3m, No. 225"}

# 2
{"formula": "Tb3Ce5Te8", "functional": "PBE", "state": "relaxed", "cell": [[4.4299, 2.5576, 7.3090], [-4.4299, 2.5576, 7.3090], [0.0000, -5.1152, 7.3090]], "species": ["Tb", "Tb", "Tb", "Ce", "Ce", "Ce", "Ce", "Ce", "Te", "Te", "Te", "Te", "Te", "Te", "Te", "Te"], "frac_coords": [[0.0000, 0.5000, 0.5000], [0.5000, 0.0000, 0.5000], [0.5000, 0.5000, 0.0000], [0.0000, 0.0000, 0.0000], [0.0000, 0.0000, 0.5000], [0.0000, 0.5000, 0.0000], [0.5000, 0.0000, 0.0000], [0.5000, 0.5000, 0.5000], [0.2500, 0.2500, 0.7434], [0.2500, 0.7434, 0.2500], [0.2532, 0.2532, 0.2532], [0.2566, 0.7500, 0.7500], [0.7434, 0.2500, 0.2500], [0.7468, 0.7468, 0.7468], [0.7500, 0.2566, 0.7500], [0.7500, 0.7500, 0.2566]], "volume_a3_per_cell": 497, "total_magnetization_mub_per_atom": 0.370, "n_ef_per_ev_atom": 2.304, "formation_energy_uncorrected_mev_per_atom": -1353, "spacegroup": "R-3m, No. 166"}

# 3
{"formula": "LiLaPu4N8", "functional": "PBE", "state": "relaxed", "cell": [[3.4528, 1.9935, 5.2101], [-3.4528, 1.9935, 5.2101], [0.0000, -3.9869, 5.2101]], "species": ["Li", "La", "Pu", "Pu", "Pu", "Pu", "N", "N", "N", "N", "N", "N", "N", "N"], "frac_coords": [[0.0000, 0.0000, 0.0000], [0.3841, 0.3841, 0.3841], [0.4922, 0.9962, 0.9962], [0.6113, 0.6113, 0.6113], [0.9962, 0.4922, 0.9962], [0.9962, 0.9962, 0.4922], [0.2078, 0.7389, 0.7389], [0.2299, 0.2299, 0.2299], [0.2337, 0.2337, 0.8105], [0.2337, 0.8105, 0.2337], [0.7389, 0.2078, 0.7389], [0.7389, 0.7389, 0.2078], [0.7559, 0.7559, 0.7559], [0.8105, 0.2337, 0.2337]], "volume_a3_per_cell": 215, "total_magnetization_mub_per_atom": 0.857, "n_ef_per_ev_atom": 1.761, "formation_energy_uncorrected_mev_per_atom": -936, "spacegroup": "R3m, No. 160"}

# 4
{"formula": "Pa2SiNi12H3", "functional": "PBE", "state": "relaxed", "cell": [[3.2555, 1.8796, 5.6151], [-3.2555, 1.8796, 5.6151], [0.0000, -3.7591, 5.6151]], "species": ["Pa", "Pa", "Si", "Ni", "Ni", "Ni", "Ni", "Ni", "Ni", "Ni", "Ni", "Ni", "Ni", "Ni", "Ni", "H", "H", "H"], "frac_coords": [[0.0986, 0.0986, 0.0986], [0.9014, 0.9014, 0.9014], [0.5000, 0.5000, 0.5000], [0.0626, 0.6408, 0.6408], [0.2174, 0.2174, 0.5927], [0.2174, 0.5927, 0.2174], [0.3592, 0.3592, 0.9374], [0.3592, 0.9374, 0.3592], [0.4073, 0.7826, 0.7826], [0.5927, 0.2174, 0.2174], [0.6408, 0.0626, 0.6408], [0.6408, 0.6408, 0.0626], [0.7826, 0.4073, 0.7826], [0.7826, 0.7826, 0.4073], [0.9374, 0.3592, 0.3592], [0.0000, 0.5000, 0.5000], [0.5000, 0.0000, 0.5000], [0.5000, 0.5000, 0.0000]], "energy_ry_per_atom": -0.4386, "volume_a3_per_cell": 206, "total_magnetization_mub_per_atom": 0.000, "n_ef_per_ev_atom": 0.768, "spacegroup": "R-3m, No. 166"}

# 5
{"formula": "Dy5In2NiRu2", "functional": "PBE", "state": "relaxed", "cell": [[11.6718, 0.0000, 0.0000], [0.0000, 11.6718, 0.0000], [0.0000, 0.0000, 3.4575]], "species": ["Dy", "Dy", "Dy", "Dy", "Dy", "Dy", "Dy", "Dy", "Dy", "Dy", "In", "In", "In", "In", "Ni", "Ni", "Ru", "Ru", "Ru", "Ru"], "frac_coords": [[0.0000, 0.5000, 0.0000], [0.0637, 0.1961, 0.0000], [0.1961, 0.9363, 0.0000], [0.3039, 0.4363, 0.0000], [0.4363, 0.6961, 0.0000], [0.5000, 0.0000, 0.0000], [0.5637, 0.3039, 0.0000], [0.6961, 0.5637, 0.0000], [0.8039, 0.0637, 0.0000], [0.9363, 0.8039, 0.0000], [0.1812, 0.6812, 0.5000], [0.3188, 0.1812, 0.5000], [0.6812, 0.8188, 0.5000], [0.8188, 0.3188, 0.5000], [0.0000, 0.0000, 0.5000], [0.5000, 0.5000, 0.5000], [0.1379, 0.3621, 0.5000], [0.3621, 0.8621, 0.5000], [0.6379, 0.1379, 0.5000], [0.8621, 0.6379, 0.5000]], "energy_ry_per_atom": -0.4130, "volume_a3_per_cell": 471, "total_magnetization_mub_per_atom": 0.000, "n_ef_per_ev_atom": 0.572, "spacegroup": "P4/mbm, No. 127"}

# 6
{"formula": "LiFeNi2", "functional": "PBE", "state": "relaxed", "cell": [[-1.3633, 2.0097, 4.1251], [1.3633, -2.0097, 4.1251], [1.3633, 2.0097, -4.1251]], "species": ["Li", "Fe", "Ni", "Ni"], "frac_coords": [[0.0000, 0.0000, 0.0000], [0.7397, 0.2397, 0.5000], [0.2487, 0.7487, 0.5000], [0.4989, 0.4989, 0.0000]], "energy_ry_per_atom": -0.3993, "volume_a3_per_cell": 45, "total_magnetization_mub_per_atom": 0.931, "n_ef_per_ev_atom": 0.709, "spacegroup": "Imm2, No. 44"}

# 7
{"formula": "Sc2AlCu", "functional": "PBE", "state": "relaxed", "cell": [[-1.6134, 2.3485, 4.9297], [1.6134, -2.3485, 4.9297], [1.6134, 2.3485, -4.9297]], "species": ["Sc", "Sc", "Al", "Cu"], "frac_coords": [[0.0000, 0.0000, 0.0000], [0.7167, 0.2167, 0.5000], [0.2809, 0.7809, 0.5000], [0.4759, 0.4759, 0.0000]], "energy_ry_per_atom": -0.3979, "volume_a3_per_cell": 75, "total_magnetization_mub_per_atom": 0.162, "n_ef_per_ev_atom": 1.078, "spacegroup": "Imm2, No. 44"}

# 8
{"formula": "ZrHgSe2", "functional": "PBE", "state": "relaxed", "cell": [[1.8946, 1.0939, 10.3779], [-1.8946, 1.0939, 10.3779], [0.0000, -2.1877, 10.3779]], "species": ["Zr", "Hg", "Se", "Se"], "frac_coords": [[0.0000, 0.0000, 0.0000], [0.5000, 0.5000, 0.5000], [0.3847, 0.3847, 0.3847], [0.6153, 0.6153, 0.6153]], "volume_a3_per_cell": 129, "total_magnetization_mub_per_atom": 0.000, "n_ef_per_ev_atom": 0.000, "formation_energy_uncorrected_mev_per_atom": -985, "spacegroup": "R-3m, No. 166"}